Below is a relaxed structure of TlV2SiO8, with properties calculated at the PBE+U level.

Unit cell a=5.445 b=5.445 c=6.503 alpha=90.00 beta=90.00 gamma=120.00
Fractional coordinates of all 12 atoms:
Tl 0.000 0.000 0.500
V 0.667 0.333 0.242
V 0.333 0.667 0.758
Si 0.000 0.000 0.000
O 0.695 0.847 0.837
O 0.847 0.695 0.163
O 0.153 0.305 0.837
O 0.847 0.153 0.163
O 0.333 0.667 0.504
O 0.667 0.333 0.496
O 0.153 0.847 0.837
O 0.305 0.153 0.163

- V (Å³/atom) = 13.91
- energy (eV per atom) = -6.94
- space group = P-3m1, No. 164